VASP calculation (PBE) on PaSiW after structural relaxation.

Structure (POSCAR):
```
PaSiW
1.0
-2.031 2.031 7.161
2.031 -2.031 7.161
2.031 2.031 -7.161
Pa Si W
2 2 2
Direct
0.163 0.163 0.000
0.837 0.837 0.000
0.377 0.377 0.000
0.623 0.623 0.000
0.000 0.500 0.500
0.500 0.000 0.500
```

Output
SG   I4/mmm (139)
Formation energy without anion corrections   -29.4 kJ per mole of atoms
ρ   12.45 g/cm3